#A
Material: BeFeP2S
Method: DFT, PBE-GGA
State: optimized geometry

Unit cell a=4.1072 b=4.1072 c=5.1278 alpha=90.00 beta=90.00 gamma=90.00
With the nearest neighbours (Å) after each atom.
Atoms (fractional coordinates):
Be 0.0000 0.0000 0.0000  4 S 2.90
Fe 0.5000 0.5000 0.5000  4 P 2.05
P 0.0000 0.5000 0.5000  2 Fe 2.05
P 0.5000 0.0000 0.5000  2 Fe 2.05
S 0.5000 0.5000 0.0000  2 Fe 2.56

Properties
Crystal system   tetragonal
Mass density   3.0 g/cm³

=====

#B
Material: BeFeP2S
Method: DFT, PBE-GGA
State: optimized geometry

Unit cell a=4.1133 b=4.1133 c=4.5528 alpha=90.00 beta=90.00 gamma=90.00
With the nearest neighbours (Å) after each atom.
Atoms (fractional coordinates):
Be 0.0000 0.0000 0.0000  4 P 2.06, 2 S 2.28
Fe 0.5000 0.5000 0.5000  4 S 2.91, 8 P 3.07
P 0.0000 0.5000 0.0000  2 Be 2.06
P 0.5000 0.0000 0.0000  2 Be 2.06
S 0.0000 0.0000 0.5000  2 Be 2.28

Properties
Crystal system   tetragonal
Mass density   3.4 g/cm³

=====

Ordering by calculated energy gives the sequence #A, #B, with the first entry being the most stable.

=====

#A
Material: BeFe2Pb
Method: DFT, PBE-GGA
State: optimized geometry

Unit cell a=4.2803 b=4.2803 c=4.2803 alpha=60.00 beta=60.00 gamma=60.00
With the nearest neighbours (Å) after each atom.
Atoms (fractional coordinates):
Be 0.0000 0.0000 0.0000  4 Pb 2.62, 4 Fe 2.62
Fe 0.2500 0.2500 0.2500  4 Fe 2.62, 4 Be 2.62
Fe 0.5000 0.5000 0.5000  4 Pb 2.62, 4 Fe 2.62
Pb 0.7500 0.7500 0.7500  4 Be 2.62, 4 Fe 2.62

Properties
Crystal system   cubic
Mass density   9.8 g/cm³

=====

#B
Material: BeFe2Pb
Method: DFT, PBE-GGA
State: optimized geometry

Unit cell a=3.0730 b=3.0730 c=6.1582 alpha=90.00 beta=90.00 gamma=90.00
With the nearest neighbours (Å) after each atom.
Atoms (fractional coordinates):
Be 0.0000 0.0000 0.0000  5 Fe 2.18-2.35
Fe 0.0000 0.0000 0.3544  1 Be 2.18
Fe 0.5000 0.5000 0.1434  4 Be 2.35, 4 Fe 2.53
Pb 0.5000 0.5000 0.6605  6 Fe 2.88-3.18, 4 Be 3.02, 4 Pb 3.07

Properties
Crystal system   tetragonal
Mass density   9.4 g/cm³

=====

#C
Material: BeFe2Pb
Method: DFT, PBE-GGA
State: optimized geometry

Unit cell a=3.0100 b=3.0100 c=6.5240 alpha=90.00 beta=90.00 gamma=90.00
With the nearest neighbours (Å) after each atom.
Atoms (fractional coordinates):
Be 0.0000 0.0000 0.0000  8 Fe 2.41
Fe 0.5000 0.5000 0.1722  1 Fe 2.25, 4 Be 2.41
Fe 0.5000 0.5000 0.8278  1 Fe 2.25, 4 Be 2.41
Pb 0.0000 0.0000 0.5000  4 Pb 3.01, 8 Fe 3.02, 2 Be 3.26

Properties
Crystal system   tetragonal
Mass density   9.2 g/cm³

=====

Ordering by calculated energy gives the sequence #B, #C, #A, with the first entry being the most stable.

=====

#A
Material: BeFe2Pb
Method: DFT, PBE-GGA
State: optimized geometry

Unit cell a=4.2156 b=4.2156 c=4.2156 alpha=60.00 beta=60.00 gamma=60.00
With the nearest neighbours (Å) after each atom.
Atoms (fractional coordinates):
Be 0.0000 0.0000 0.0000  8 Fe 2.58
Fe 0.2500 0.2500 0.2500  4 Pb 2.58, 4 Be 2.58
Fe 0.7500 0.7500 0.7500  4 Pb 2.58, 4 Be 2.58
Pb 0.5000 0.5000 0.5000  8 Fe 2.58

Properties
Crystal system   cubic
Mass density   10.3 g/cm³

=====

#B
Material: BeFe2Pb
Method: DFT, PBE-GGA
State: optimized geometry

Unit cell a=3.7538 b=3.7538 c=4.0485 alpha=90.00 beta=90.00 gamma=90.00
With the nearest neighbours (Å) after each atom.
Atoms (fractional coordinates):
Be 0.0000 0.0000 0.0000  4 Pb 2.65, 8 Fe 2.76
Fe 0.0000 0.5000 0.5000  4 Fe 2.65, 4 Pb 2.76, 4 Be 2.76
Fe 0.5000 0.0000 0.5000  4 Fe 2.65, 4 Pb 2.76, 4 Be 2.76
Pb 0.5000 0.5000 0.0000  4 Be 2.65, 8 Fe 2.76

Properties
Crystal system   tetragonal
Mass density   9.5 g/cm³

=====

Ordering by calculated energy gives the sequence #B, #A, with the first entry being the most stable.

=====

#A
Material: BeFe2Pb
Method: DFT, PBE-GGA
State: optimized geometry

Unit cell a=3.8784 b=3.8784 c=5.1058 alpha=112.24 beta=112.24 gamma=59.90
With the nearest neighbours (Å) after each atom.
Atoms (fractional coordinates):
Be 0.0000 0.0000 0.0000  6 Fe 2.26-2.36, 1 Pb 2.53
Fe 0.3565 0.3565 0.0704  3 Be 2.26, 3 Fe 2.48
Fe 0.6132 0.6132 0.8399  3 Be 2.35-2.36, 3 Fe 2.48
Pb 0.8155 0.8155 0.4489  1 Be 2.53, 3 Fe 2.80-2.83

Properties
Crystal system   monoclinic
Mass density   9.1 g/cm³

=====

#B
Material: BeFe2Pb
Method: DFT, PBE-GGA
State: optimized geometry

Unit cell a=2.9612 b=3.7750 c=5.4617 alpha=90.00 beta=100.49 gamma=90.00
With the nearest neighbours (Å) after each atom.
Atoms (fractional coordinates):
Be 0.0000 0.0000 0.0000  4 Fe 2.26
Fe 0.3332 0.5000 0.1742  2 Be 2.26, 2 Fe 2.30-2.48
Fe 0.6668 0.5000 0.8258  2 Be 2.26, 2 Fe 2.30-2.48
Pb 0.0000 0.0000 0.5000  2 Be 2.73, 8 Fe 2.89-3.06, 2 Pb 2.96

Properties
Crystal system   monoclinic
Mass density   9.1 g/cm³

=====

Ordering by calculated energy gives the sequence #A, #B, with the first entry being the most stable.

=====

#A
Material: Be3FePb
Method: DFT, PBE-GGA
State: optimized geometry

Unit cell a=4.1528 b=4.1528 c=4.1528 alpha=90.00 beta=90.00 gamma=90.00
With the nearest neighbours (Å) after each atom.
Atoms (fractional coordinates):
Be 0.0000 0.0000 0.5000  2 Fe 2.08
Be 0.0000 0.5000 0.0000  2 Fe 2.08
Be 0.5000 0.0000 0.0000  2 Fe 2.08
Fe 0.0000 0.0000 0.0000  6 Be 2.08
Pb 0.5000 0.5000 0.5000  12 Be 2.94

Properties
Crystal system   cubic
Mass density   6.7 g/cm³

=====

#B
Material: Be3FePb
Method: DFT, PBE-GGA
State: optimized geometry

Unit cell a=4.5863 b=4.5863 c=4.5863 alpha=90.00 beta=90.00 gamma=90.00
With the nearest neighbours (Å) after each atom.
Atoms (fractional coordinates):
Be 0.0000 0.0000 0.5000  2 Pb 2.29
Be 0.0000 0.5000 0.0000  2 Pb 2.29
Be 0.5000 0.0000 0.0000  2 Pb 2.29
Fe 0.5000 0.5000 0.5000  12 Be 3.24
Pb 0.0000 0.0000 0.0000  6 Be 2.29

Properties
Crystal system   cubic
Mass density   5.0 g/cm³

=====

Ordering by calculated energy gives the sequence #A, #B, with the first entry being the most stable.

=====

#A
Material: BeFePb3
Method: DFT, PBE-GGA
State: optimized geometry

Unit cell a=5.0673 b=5.0673 c=5.0673 alpha=90.00 beta=90.00 gamma=90.00
With the nearest neighbours (Å) after each atom.
Atoms (fractional coordinates):
Be 0.0000 0.0000 0.0000  12 Pb 3.58
Fe 0.5000 0.5000 0.5000  6 Pb 2.53
Pb 0.0000 0.5000 0.5000  2 Fe 2.53
Pb 0.5000 0.0000 0.5000  2 Fe 2.53
Pb 0.5000 0.5000 0.0000  2 Fe 2.53

Properties
Crystal system   cubic
Mass density   8.8 g/cm³

=====

#B
Material: BeFePb3
Method: DFT, PBE-GGA
State: optimized geometry

Unit cell a=5.0584 b=5.0584 c=5.0584 alpha=90.00 beta=90.00 gamma=90.00
With the nearest neighbours (Å) after each atom.
Atoms (fractional coordinates):
Be 0.0000 0.0000 0.0000  6 Pb 2.53
Fe 0.5000 0.5000 0.5000  12 Pb 3.58
Pb 0.0000 0.0000 0.5000  2 Be 2.53
Pb 0.0000 0.5000 0.0000  2 Be 2.53
Pb 0.5000 0.0000 0.0000  2 Be 2.53

Properties
Crystal system   cubic
Mass density   8.8 g/cm³

=====

Ordering by calculated energy gives the sequence #A, #B, with the first entry being the most stable.

=====

#A
Material: BeFeRu2Pb
Method: DFT, PBE-GGA
State: optimized geometry

Unit cell a=4.2756 b=4.2756 c=4.0709 alpha=90.00 beta=90.00 gamma=90.00
With the nearest neighbours (Å) after each atom.
Atoms (fractional coordinates):
Be 0.0000 0.0000 0.0000  2 Fe 2.04, 4 Ru 2.14
Fe 0.0000 0.0000 0.5000  2 Be 2.04
Ru 0.0000 0.5000 0.0000  2 Be 2.14
Ru 0.5000 0.0000 0.0000  2 Be 2.14
Pb 0.5000 0.5000 0.5000  8 Ru 2.95, 4 Fe 3.02

Properties
Crystal system   tetragonal
Mass density   10.6 g/cm³

=====

#B
Material: BeFeRu2Pb
Method: DFT, PBE-GGA
State: optimized geometry

Unit cell a=4.1981 b=4.1981 c=4.4780 alpha=90.00 beta=90.00 gamma=90.00
With the nearest neighbours (Å) after each atom.
Atoms (fractional coordinates):
Be 0.0000 0.0000 0.0000  4 Ru 2.10, 2 Pb 2.24
Fe 0.5000 0.5000 0.5000  4 Pb 2.97, 8 Ru 3.07
Ru 0.0000 0.5000 0.0000  2 Be 2.10
Ru 0.5000 0.0000 0.0000  2 Be 2.10
Pb 0.0000 0.0000 0.5000  2 Be 2.24

Properties
Crystal system   tetragonal
Mass density   10.0 g/cm³

=====

Ordering by calculated energy gives the sequence #A, #B, with the first entry being the most stable.